Record 1
The following is a DFT calculation (meta-GGA SCAN) of a crystal of SrTi3Zn relaxed with PBEsol.

Unit cell a=4.6453 b=4.6453 c=4.6453 alpha=90.00 beta=90.00 gamma=90.00
Site moments in Bohr magnetons follow the coordinates.
Sites, in units of the cell vectors:
Ti  0.0000  0.0000  0.5000  0.46
Zn  0.5000  0.5000  0.5000  -0.01
Sr  0.0000  0.0000  0.0000  0.08
Ti  0.5000  0.0000  0.0000  0.46
Ti  0.0000  0.5000  0.0000  0.46

Values from the calculation:
Magnetic moment = 1.7 μB/cell
Energy of formation from the pure elements = 1.980 eV per atom
ρ = 4.91 Mg/m³

---

Record 2
The following is a DFT calculation (meta-GGA SCAN) of a crystal of Mo2PtSe relaxed with PBEsol.

Unit cell a=2.8768 b=4.9185 c=4.9185 alpha=114.91 beta=96.35 gamma=96.35
Sites, in units of the cell vectors:
Se  0.5000  0.0000  0.0000
Mo  0.0000  0.5000  0.0000
Mo  0.0000  0.0000  0.5000
Pt  0.5000  0.5000  0.5000

Values from the calculation:
Magnetic moment = 0.0 μB/cell
Energy relative to the elements, uncorrected = 275 meV/atom
ρ = 12.52 Mg/m³

---

Record 3
The following is a DFT calculation (meta-GGA SCAN) of a crystal of MgAg3 relaxed with PBEsol.

Unit cell a=5.1080 b=5.7012 c=9.3793 alpha=90.00 beta=90.00 gamma=90.00
Sites, in units of the cell vectors:
Ag  0.7542  0.1339  0.4997
Ag  0.0744  0.1127  0.7500
Ag  0.7542  0.1339  0.0003
Ag  0.5744  0.3873  0.7500
Ag  0.2458  0.8661  0.9997
Ag  0.7458  0.6339  0.5003
Ag  0.7458  0.6339  0.9997
Ag  0.2542  0.3661  0.4997
Ag  0.2542  0.3661  0.0003
Ag  0.2458  0.8661  0.5003
Mg  0.4311  0.1038  0.2500
Ag  0.9256  0.8873  0.2500
Mg  0.0689  0.6038  0.7500
Mg  0.9311  0.3962  0.2500
Ag  0.4256  0.6127  0.2500
Mg  0.5689  0.8962  0.7500

Values from the calculation:
Magnetic moment = 0.0 μB/cell
Energy of formation from the pure elements = -0.121 eV per atom
ρ = 8.46 Mg/m³

---

Record 4
The following is a DFT calculation (meta-GGA SCAN) of a crystal of MgAsSCl2 relaxed with PBEsol.

Unit cell a=4.9052 b=4.9052 c=4.8497 alpha=90.00 beta=90.00 gamma=90.00
Sites, in units of the cell vectors:
S  0.0000  0.0000  0.5000
Cl  0.0000  0.5000  0.0000
As  0.0000  0.0000  0.0000
Cl  0.5000  0.0000  0.0000
Mg  0.5000  0.5000  0.5000

Values from the calculation:
Magnetic moment = 0.0 μB/cell
Energy relative to the elements, uncorrected = -273 meV/atom
ρ = 2.88 Mg/m³

---

Record 5
The following is a DFT calculation (meta-GGA SCAN) of a crystal of RbGe2NO relaxed with PBEsol.

Unit cell a=4.2339 b=5.7331 c=5.7331 alpha=90.00 beta=90.00 gamma=90.00
Site moments in Bohr magnetons follow the coordinates.
Sites, in units of the cell vectors:
Ge  0.0000  0.5000  0.0000  -0.44
O  0.5000  0.0000  0.0000  -0.19
N  0.5000  0.5000  0.5000  1.66
Rb  0.0000  0.0000  0.0000  -0.06
Ge  0.0000  0.0000  0.5000  -0.44

Values from the calculation:
Magnetic moment = 0.0 μB/cell
Energy relative to the elements, uncorrected = 2318 meV/atom
ρ = 3.11 Mg/m³

---

Record 6
The following is a DFT calculation (meta-GGA SCAN) of a crystal of LiH2BrO relaxed with PBEsol.

Unit cell a=5.5988 b=5.5988 c=7.7819 alpha=90.00 beta=90.00 gamma=88.58
Sites, in units of the cell vectors:
O  0.2593  0.7407  0.5044
H  0.4068  0.7872  0.9333
H  0.7872  0.4068  0.0667
Li  0.6959  0.3041  0.7500
Li  0.3041  0.6959  0.2500
Li  0.0000  0.0000  0.0000
O  0.7407  0.2593  0.4956
Li  0.0000  0.0000  0.5000
Br  0.2120  0.2753  0.7500
H  0.7872  0.4068  0.4333
Br  0.7880  0.7247  0.2500
H  0.2128  0.5932  0.9333
H  0.4068  0.7872  0.5667
O  0.2593  0.7407  0.9956
O  0.7407  0.2593  0.0044
H  0.2128  0.5932  0.5667
Br  0.2753  0.2120  0.2500
H  0.5932  0.2128  0.4333
H  0.5932  0.2128  0.0667
Br  0.7247  0.7880  0.7500

Values from the calculation:
Raw total energy = -8.3492 eV/atom
Magnetic moment = 0.0 μB/cell
ρ = 2.86 Mg/m³

---

Record 7
The following is a DFT calculation (meta-GGA SCAN) of a crystal of NdAs2Rh2 relaxed with PBEsol.

Unit cell a=4.2330 b=4.2330 c=9.8936 alpha=90.00 beta=90.00 gamma=90.00
Sites, in units of the cell vectors:
As  0.5000  0.5000  0.5000
Rh  0.5000  0.5000  0.0000
Rh  0.0000  0.5000  0.6206
Rh  0.0000  0.0000  0.0000
As  0.0000  0.5000  0.8637
Nd  0.0000  0.5000  0.2544
Rh  0.5000  0.0000  0.3794
As  0.0000  0.0000  0.5000
Nd  0.5000  0.0000  0.7456
As  0.5000  0.0000  0.1363

Values from the calculation:
Magnetic moment = 0.0 μB/cell
Energy of formation from the pure elements = -1.097 eV per atom
ρ = 9.36 Mg/m³

---

Record 8
The following is a DFT calculation (meta-GGA SCAN) of a crystal of Cs2BaTeAs relaxed with PBEsol.

Unit cell a=6.1994 b=7.9258 c=7.9258 alpha=90.00 beta=90.00 gamma=90.00
Site moments in Bohr magnetons follow the coordinates.
Sites, in units of the cell vectors:
Cs  0.0000  0.0000  0.5000  0.01
Cs  0.0000  0.5000  0.0000  0.01
As  0.5000  0.5000  0.5000  0.75
Te  0.5000  0.0000  0.0000  0.01
Ba  0.0000  0.0000  0.0000  0.07

Values from the calculation:
Magnetic moment = 2.3 μB/cell
Energy relative to the elements, uncorrected = 107 meV/atom
ρ = 2.58 Mg/m³

---

Record 9
The following is a DFT calculation (meta-GGA SCAN) of a crystal of MgCdPb2 relaxed with PBEsol.

Unit cell a=5.3129 b=5.3129 c=5.3129 alpha=60.00 beta=60.00 gamma=60.00
Sites, in units of the cell vectors:
Cd  0.5000  0.5000  0.5000
Mg  0.2500  0.2500  0.2500
Pb  0.7500  0.7500  0.7500
Pb  0.0000  0.0000  0.0000

Values from the calculation:
Magnetic moment = 0.0 μB/cell
Energy of formation from the pure elements = 0.030 eV per atom
ρ = 8.63 Mg/m³

---

Record 10
The following is a DFT calculation (meta-GGA SCAN) of a crystal of ZnTe2Ir relaxed with PBEsol.

Unit cell a=3.4170 b=3.4142 c=7.1957 alpha=90.00 beta=90.00 gamma=90.00
Sites, in units of the cell vectors:
Te  0.5000  0.5000  0.3341
Te  0.0000  0.0000  0.9097
Zn  0.0000  0.0000  0.5344
Ir  0.5000  0.5000  0.7218

Values from the calculation:
Magnetic moment = 0.0 μB/cell
Energy relative to the elements, uncorrected = 126 meV/atom
ρ = 10.14 Mg/m³

---

Record 11
The following is a DFT calculation (meta-GGA SCAN) of a crystal of Cd2SnBi2 relaxed with PBEsol.

Unit cell a=4.1308 b=4.1308 c=8.6410 alpha=103.83 beta=103.83 gamma=90.00
Sites, in units of the cell vectors:
Cd  0.2500  0.7500  0.5000
Bi  0.6030  0.6030  0.2060
Sn  0.0000  0.0000  0.0000
Bi  0.3970  0.3970  0.7940
Cd  0.7500  0.2500  0.5000

Values from the calculation:
Magnetic moment = 0.0 μB/cell
Energy of formation from the pure elements = 0.163 eV per atom
ρ = 9.11 Mg/m³

---

Record 12
The following is a DFT calculation (meta-GGA SCAN) of a crystal of Cd2NiTe relaxed with PBEsol.

Unit cell a=4.2398 b=4.5765 c=4.5765 alpha=107.93 beta=90.00 gamma=90.00
Sites, in units of the cell vectors:
Cd  0.0000  0.7002  0.2998
Te  0.5000  0.0000  0.0000
Ni  0.5000  0.5000  0.5000
Cd  0.0000  0.2998  0.7002

Values from the calculation:
Magnetic moment = 0.0 μB/cell
Energy relative to the elements, uncorrected = 188 meV/atom
ρ = 8.08 Mg/m³

---

Copy entry 3 word for word.
The following is a DFT calculation (meta-GGA SCAN) of a crystal of MgAg3 relaxed with PBEsol.

Unit cell a=5.1080 b=5.7012 c=9.3793 alpha=90.00 beta=90.00 gamma=90.00
Sites, in units of the cell vectors:
Ag  0.7542  0.1339  0.4997
Ag  0.0744  0.1127  0.7500
Ag  0.7542  0.1339  0.0003
Ag  0.5744  0.3873  0.7500
Ag  0.2458  0.8661  0.9997
Ag  0.7458  0.6339  0.5003
Ag  0.7458  0.6339  0.9997
Ag  0.2542  0.3661  0.4997
Ag  0.2542  0.3661  0.0003
Ag  0.2458  0.8661  0.5003
Mg  0.4311  0.1038  0.2500
Ag  0.9256  0.8873  0.2500
Mg  0.0689  0.6038  0.7500
Mg  0.9311  0.3962  0.2500
Ag  0.4256  0.6127  0.2500
Mg  0.5689  0.8962  0.7500

Values from the calculation:
Magnetic moment = 0.0 μB/cell
Energy of formation from the pure elements = -0.121 eV per atom
ρ = 8.46 Mg/m³

---

- Look up the ρ of the sixth one.
  2.86 Mg/m³